[1]
Compound: NdYMg
Source: Alexandria via LeMat-Bulk
Functional: PBE-GGA
Structure: relaxed

POSCAR file:
```
NdYMg
1.0
5.515 0.000 0.000
-2.757 4.776 0.000
0.000 0.000 3.461
Nd Y Mg
1 1 1
direct
0.000 0.000 0.000
0.333 0.667 0.432
0.667 0.333 0.701
```

- energy above the most stable polymorph in this dataset (meV per atom) = 104



[2]
Compound: NaGaHg2
Source: Alexandria via LeMat-Bulk
Functional: PBE-GGA
Structure: relaxed

POSCAR file:
```
NaGaHg2
1.0
3.642 0.000 0.000
0.000 3.642 0.000
0.000 0.000 7.216
Na Ga Hg
1 1 2
direct
0.000 0.000 0.000
0.000 0.000 0.500
0.500 0.500 0.265
0.500 0.500 0.735
```



[3]
Compound: BeVB2
Source: Alexandria via LeMat-Bulk
Functional: PBE-GGA
Structure: relaxed

POSCAR file:
```
BeVB2
1.0
-1.656 1.656 6.519
1.656 -1.656 6.519
1.656 1.656 -6.519
Be V B
2 2 4
direct
0.375 0.625 0.750
0.625 0.375 0.250
0.125 0.875 0.250
0.875 0.125 0.750
0.000 0.500 0.500
0.500 0.000 0.000
0.500 0.500 0.000
0.500 0.500 0.500
```



Number 1: formation energy 35 meV/atom. Number 2: formation energy -113 meV/atom. Number 3: formation energy 221 meV/atom.